Model a:
Here is crystalline Al11Ni2 at its relaxed geometry from OQMD via LeMat-Bulk. Energies are from GGA-PBE.

Unit cell a=8.8390 b=8.8390 c=8.8390 alpha=35.83 beta=35.83 gamma=35.83
Fractional positions:
1 Al 0.0000 0.0000 0.0000
2 Al 0.0776 0.0776 0.5778
3 Al 0.0776 0.5778 0.0776
4 Al 0.3425 0.3425 0.3425
5 Al 0.4222 0.9224 0.9224
6 Al 0.4500 0.4500 0.4500
7 Al 0.5500 0.5500 0.5500
8 Al 0.5778 0.0776 0.0776
9 Al 0.6575 0.6575 0.6575
10 Al 0.9224 0.4222 0.9224
11 Al 0.9224 0.9224 0.4222
12 Ni 0.1677 0.1677 0.1677
13 Ni 0.8323 0.8323 0.8323

---

Model b:
Here is crystalline Al11Ni2 at its relaxed geometry from OQMD via LeMat-Bulk. Energies are from GGA-PBE.

Unit cell a=9.4584 b=9.4584 c=9.4584 alpha=32.15 beta=32.15 gamma=32.15
Fractional positions:
1 Al 0.0000 0.0000 0.0000
2 Al 0.0916 0.0916 0.5839
3 Al 0.0916 0.5839 0.0916
4 Al 0.1662 0.1662 0.1662
5 Al 0.4161 0.9084 0.9084
6 Al 0.4505 0.4505 0.4505
7 Al 0.5495 0.5495 0.5495
8 Al 0.5839 0.0916 0.0916
9 Al 0.8338 0.8338 0.8338
10 Al 0.9084 0.4161 0.9084
11 Al 0.9084 0.9084 0.4161
12 Ni 0.3304 0.3304 0.3304
13 Ni 0.6696 0.6696 0.6696

---

Decreasing stability: model a, model b

---

Model a:
Here is crystalline Al7Ni8 at its relaxed geometry from OQMD via LeMat-Bulk. Energies are from GGA-PBE.

Unit cell a=8.8583 b=8.8583 c=4.6979 alpha=90.00 beta=90.00 gamma=90.00
Fractional positions:
1 Al 0.0000 0.0000 0.0000
2 Al 0.0451 0.3679 0.5000
3 Al 0.1004 0.1004 0.5000
4 Al 0.1321 0.5451 0.0000
5 Al 0.3679 0.0451 0.5000
6 Al 0.3996 0.6004 0.0000
7 Al 0.4549 0.8679 0.0000
8 Al 0.5000 0.5000 0.5000
9 Al 0.5451 0.1321 0.0000
10 Al 0.6004 0.3996 0.0000
11 Al 0.6321 0.9549 0.5000
12 Al 0.8679 0.4549 0.0000
13 Al 0.8996 0.8996 0.5000
14 Al 0.9549 0.6321 0.5000
15 Ni 0.0701 0.2670 0.0000
16 Ni 0.1775 0.8225 0.2530
17 Ni 0.1775 0.8225 0.7470
18 Ni 0.2330 0.5701 0.5000
19 Ni 0.2670 0.0701 0.0000
20 Ni 0.3225 0.3225 0.2470
21 Ni 0.3225 0.3225 0.7530
22 Ni 0.4299 0.7670 0.5000
23 Ni 0.5701 0.2330 0.5000
24 Ni 0.6775 0.6775 0.2470
25 Ni 0.6775 0.6775 0.7530
26 Ni 0.7330 0.9299 0.0000
27 Ni 0.7670 0.4299 0.5000
28 Ni 0.8225 0.1775 0.2530
29 Ni 0.8225 0.1775 0.7470
30 Ni 0.9299 0.7330 0.0000

---

Model b:
Here is crystalline Al7Ni8 at its relaxed geometry from OQMD via LeMat-Bulk. Energies are from GGA-PBE.

Unit cell a=8.7949 b=8.7949 c=4.7673 alpha=90.00 beta=90.00 gamma=90.00
Fractional positions:
1 Al 0.0000 0.0000 0.0000
2 Al 0.0685 0.2879 0.0000
3 Al 0.1077 0.1077 0.5000
4 Al 0.2121 0.5685 0.5000
5 Al 0.2879 0.0685 0.0000
6 Al 0.3923 0.6077 0.0000
7 Al 0.4315 0.7879 0.5000
8 Al 0.5000 0.5000 0.5000
9 Al 0.5685 0.2121 0.5000
10 Al 0.6077 0.3923 0.0000
11 Al 0.7121 0.9315 0.0000
12 Al 0.7879 0.4315 0.5000
13 Al 0.8923 0.8923 0.5000
14 Al 0.9315 0.7121 0.0000
15 Ni 0.0448 0.3627 0.5000
16 Ni 0.1373 0.5448 0.0000
17 Ni 0.1713 0.8287 0.2520
18 Ni 0.1713 0.8287 0.7480
19 Ni 0.3287 0.3287 0.2480
20 Ni 0.3287 0.3287 0.7520
21 Ni 0.3627 0.0448 0.5000
22 Ni 0.4552 0.8627 0.0000
23 Ni 0.5448 0.1373 0.0000
24 Ni 0.6373 0.9552 0.5000
25 Ni 0.6713 0.6713 0.2480
26 Ni 0.6713 0.6713 0.7520
27 Ni 0.8287 0.1713 0.2520
28 Ni 0.8287 0.1713 0.7480
29 Ni 0.8627 0.4552 0.0000
30 Ni 0.9552 0.6373 0.5000

---

Model c:
Here is crystalline Al7Ni8 at its relaxed geometry from OQMD via LeMat-Bulk. Energies are from GGA-PBE.

Unit cell a=8.7197 b=8.7197 c=4.8616 alpha=90.00 beta=90.00 gamma=90.00
Fractional positions:
1 Al 0.0000 0.0000 0.0000
2 Al 0.1051 0.1051 0.5000
3 Al 0.1992 0.8008 0.2512
4 Al 0.1992 0.8008 0.7488
5 Al 0.3008 0.3008 0.2488
6 Al 0.3008 0.3008 0.7512
7 Al 0.3949 0.6051 0.0000
8 Al 0.5000 0.5000 0.5000
9 Al 0.6051 0.3949 0.0000
10 Al 0.6992 0.6992 0.2488
11 Al 0.6992 0.6992 0.7512
12 Al 0.8008 0.1992 0.2512
13 Al 0.8008 0.1992 0.7488
14 Al 0.8949 0.8949 0.5000
15 Ni 0.0306 0.3617 0.5000
16 Ni 0.0506 0.2619 0.0000
17 Ni 0.1383 0.5306 0.0000
18 Ni 0.2381 0.5506 0.5000
19 Ni 0.2619 0.0506 0.0000
20 Ni 0.3617 0.0306 0.5000
21 Ni 0.4494 0.7619 0.5000
22 Ni 0.4694 0.8617 0.0000
23 Ni 0.5306 0.1383 0.0000
24 Ni 0.5506 0.2381 0.5000
25 Ni 0.6383 0.9694 0.5000
26 Ni 0.7381 0.9494 0.0000
27 Ni 0.7619 0.4494 0.5000
28 Ni 0.8617 0.4694 0.0000
29 Ni 0.9494 0.7381 0.0000
30 Ni 0.9694 0.6383 0.5000

---

Decreasing stability: model b, model a, model c

---

Model a:
Here is crystalline Al4Ni9 at its relaxed geometry from OQMD via LeMat-Bulk. Energies are from GGA-PBE.

Unit cell a=8.4388 b=8.4388 c=8.4388 alpha=32.84 beta=32.84 gamma=32.84
Fractional positions:
1 Al 0.0570 0.0570 0.0570
2 Al 0.3340 0.3340 0.3340
3 Al 0.6660 0.6660 0.6660
4 Al 0.9430 0.9430 0.9430
5 Ni 0.0833 0.5870 0.5870
6 Ni 0.1572 0.1572 0.1572
7 Ni 0.4130 0.4130 0.9167
8 Ni 0.4130 0.9167 0.4130
9 Ni 0.5000 0.5000 0.5000
10 Ni 0.5870 0.0833 0.5870
11 Ni 0.5870 0.5870 0.0833
12 Ni 0.8428 0.8428 0.8428
13 Ni 0.9167 0.4130 0.4130

---

Model b:
Here is crystalline Al4Ni9 at its relaxed geometry from OQMD via LeMat-Bulk. Energies are from GGA-PBE.

Unit cell a=8.3805 b=8.3805 c=8.3805 alpha=32.94 beta=32.94 gamma=32.94
Fractional positions:
1 Al 0.1486 0.1486 0.1486
2 Al 0.3344 0.3344 0.3344
3 Al 0.6656 0.6656 0.6656
4 Al 0.8514 0.8514 0.8514
5 Ni 0.0489 0.0489 0.0489
6 Ni 0.0820 0.5891 0.5891
7 Ni 0.4109 0.4109 0.9180
8 Ni 0.4109 0.9180 0.4109
9 Ni 0.5000 0.5000 0.5000
10 Ni 0.5891 0.0820 0.5891
11 Ni 0.5891 0.5891 0.0820
12 Ni 0.9180 0.4109 0.4109
13 Ni 0.9511 0.9511 0.9511

---

Model c:
Here is crystalline Al4Ni9 at its relaxed geometry from OQMD via LeMat-Bulk. Energies are from GGA-PBE.

Unit cell a=8.7296 b=8.7296 c=8.7296 alpha=30.92 beta=30.92 gamma=30.92
Fractional positions:
1 Al 0.0498 0.0498 0.0498
2 Al 0.1546 0.1546 0.1546
3 Al 0.8454 0.8454 0.8454
4 Al 0.9502 0.9502 0.9502
5 Ni 0.0863 0.5900 0.5900
6 Ni 0.3329 0.3329 0.3329
7 Ni 0.4100 0.4100 0.9137
8 Ni 0.4100 0.9137 0.4100
9 Ni 0.5000 0.5000 0.5000
10 Ni 0.5900 0.0863 0.5900
11 Ni 0.5900 0.5900 0.0863
12 Ni 0.6671 0.6671 0.6671
13 Ni 0.9137 0.4100 0.4100

---

Decreasing stability: model b, model a, model c

---

Model a:
Here is crystalline Al17Ni12 at its relaxed geometry from OQMD via LeMat-Bulk. Energies are from GGA-PBE.

Unit cell a=7.8645 b=7.8645 c=7.8645 alpha=109.47 beta=109.47 gamma=109.47
Fractional positions:
1 Al 0.0000 0.0000 0.0000
2 Al 0.0000 0.0000 0.6687
3 Al 0.0000 0.4082 0.6885
4 Al 0.0000 0.6687 0.0000
5 Al 0.0000 0.6885 0.4082
6 Al 0.2803 0.5918 0.5918
7 Al 0.3115 0.3115 0.7197
8 Al 0.3115 0.7197 0.3115
9 Al 0.3313 0.3313 0.3313
10 Al 0.4082 0.0000 0.6885
11 Al 0.4082 0.6885 0.0000
12 Al 0.5918 0.2803 0.5918
13 Al 0.5918 0.5918 0.2803
14 Al 0.6687 0.0000 0.0000
15 Al 0.6885 0.0000 0.4082
16 Al 0.6885 0.4082 0.0000
17 Al 0.7197 0.3115 0.3115
18 Ni 0.0000 0.1935 0.3835
19 Ni 0.0000 0.3835 0.1935
20 Ni 0.1900 0.8065 0.8065
21 Ni 0.1935 0.0000 0.3835
22 Ni 0.1935 0.3835 0.0000
23 Ni 0.3835 0.0000 0.1935
24 Ni 0.3835 0.1935 0.0000
25 Ni 0.6165 0.6165 0.8100
26 Ni 0.6165 0.8100 0.6165
27 Ni 0.8065 0.1900 0.8065
28 Ni 0.8065 0.8065 0.1900
29 Ni 0.8100 0.6165 0.6165

---

Model b:
Here is crystalline Al17Ni12 at its relaxed geometry from OQMD via LeMat-Bulk. Energies are from GGA-PBE.

Unit cell a=7.9171 b=7.9171 c=7.9171 alpha=109.47 beta=109.47 gamma=109.47
Fractional positions:
1 Al 0.0000 0.0000 0.0000
2 Al 0.0000 0.0000 0.6367
3 Al 0.0000 0.2067 0.4068
4 Al 0.0000 0.4068 0.2067
5 Al 0.0000 0.6367 0.0000
6 Al 0.2001 0.7933 0.7933
7 Al 0.2067 0.0000 0.4068
8 Al 0.2067 0.4068 0.0000
9 Al 0.3633 0.3633 0.3633
10 Al 0.4068 0.0000 0.2067
11 Al 0.4068 0.2067 0.0000
12 Al 0.5932 0.5932 0.7999
13 Al 0.5932 0.7999 0.5932
14 Al 0.6367 0.0000 0.0000
15 Al 0.7933 0.2001 0.7933
16 Al 0.7933 0.7933 0.2001
17 Al 0.7999 0.5932 0.5932
18 Ni 0.0000 0.4229 0.6950
19 Ni 0.0000 0.6950 0.4229
20 Ni 0.2721 0.5771 0.5771
21 Ni 0.3050 0.3050 0.7279
22 Ni 0.3050 0.7279 0.3050
23 Ni 0.4229 0.0000 0.6950
24 Ni 0.4229 0.6950 0.0000
25 Ni 0.5771 0.2721 0.5771
26 Ni 0.5771 0.5771 0.2721
27 Ni 0.6950 0.0000 0.4229
28 Ni 0.6950 0.4229 0.0000
29 Ni 0.7279 0.3050 0.3050

---

Decreasing stability: model a, model b

---

Model a:
Here is crystalline Al16Ni13 at its relaxed geometry from OQMD via LeMat-Bulk. Energies are from GGA-PBE.

Unit cell a=7.8639 b=7.8639 c=7.8639 alpha=109.47 beta=109.47 gamma=109.47
Fractional positions:
1 Al 0.0000 0.0000 0.7054
2 Al 0.0000 0.4150 0.6951
3 Al 0.0000 0.6951 0.4150
4 Al 0.0000 0.7054 0.0000
5 Al 0.2801 0.5850 0.5850
6 Al 0.2946 0.2946 0.2946
7 Al 0.3049 0.3049 0.7199
8 Al 0.3049 0.7199 0.3049
9 Al 0.4150 0.0000 0.6951
10 Al 0.4150 0.6951 0.0000
11 Al 0.5850 0.2801 0.5850
12 Al 0.5850 0.5850 0.2801
13 Al 0.6951 0.0000 0.4150
14 Al 0.6951 0.4150 0.0000
15 Al 0.7054 0.0000 0.0000
16 Al 0.7199 0.3049 0.3049
17 Ni 0.0000 0.0000 0.0000
18 Ni 0.0000 0.1949 0.3863
19 Ni 0.0000 0.3863 0.1949
20 Ni 0.1914 0.8051 0.8051
21 Ni 0.1949 0.0000 0.3863
22 Ni 0.1949 0.3863 0.0000
23 Ni 0.3863 0.0000 0.1949
24 Ni 0.3863 0.1949 0.0000
25 Ni 0.6137 0.6137 0.8086
26 Ni 0.6137 0.8086 0.6137
27 Ni 0.8051 0.1914 0.8051
28 Ni 0.8051 0.8051 0.1914
29 Ni 0.8086 0.6137 0.6137

---

Model b:
Here is crystalline Al16Ni13 at its relaxed geometry from OQMD via LeMat-Bulk. Energies are from GGA-PBE.

Unit cell a=7.8647 b=7.8647 c=7.8647 alpha=109.47 beta=109.47 gamma=109.47
Fractional positions:
1 Al 0.0000 0.0000 0.6494
2 Al 0.0000 0.2059 0.4056
3 Al 0.0000 0.4056 0.2059
4 Al 0.0000 0.6494 0.0000
5 Al 0.1996 0.7941 0.7941
6 Al 0.2059 0.0000 0.4056
7 Al 0.2059 0.4056 0.0000
8 Al 0.3506 0.3506 0.3506
9 Al 0.4056 0.0000 0.2059
10 Al 0.4056 0.2059 0.0000
11 Al 0.5944 0.5944 0.8004
12 Al 0.5944 0.8004 0.5944
13 Al 0.6494 0.0000 0.0000
14 Al 0.7941 0.1996 0.7941
15 Al 0.7941 0.7941 0.1996
16 Al 0.8004 0.5944 0.5944
17 Ni 0.0000 0.0000 0.0000
18 Ni 0.0000 0.4219 0.6967
19 Ni 0.0000 0.6967 0.4219
20 Ni 0.2747 0.5781 0.5781
21 Ni 0.3033 0.3033 0.7253
22 Ni 0.3033 0.7253 0.3033
23 Ni 0.4219 0.0000 0.6967
24 Ni 0.4219 0.6967 0.0000
25 Ni 0.5781 0.2747 0.5781
26 Ni 0.5781 0.5781 0.2747
27 Ni 0.6967 0.0000 0.4219
28 Ni 0.6967 0.4219 0.0000
29 Ni 0.7253 0.3033 0.3033

---

Decreasing stability: model a, model b

---

Model a:
Here is crystalline Al12Ni17 at its relaxed geometry from OQMD via LeMat-Bulk. Energies are from GGA-PBE.

Unit cell a=7.7032 b=7.7032 c=7.7032 alpha=109.47 beta=109.47 gamma=109.47
Fractional positions:
1 Al 0.0000 0.4174 0.7012
2 Al 0.0000 0.7012 0.4174
3 Al 0.2838 0.5826 0.5826
4 Al 0.2988 0.2988 0.7162
5 Al 0.2988 0.7162 0.2988
6 Al 0.4174 0.0000 0.7012
7 Al 0.4174 0.7012 0.0000
8 Al 0.5826 0.2838 0.5826
9 Al 0.5826 0.5826 0.2838
10 Al 0.7012 0.0000 0.4174
11 Al 0.7012 0.4174 0.0000
12 Al 0.7162 0.2988 0.2988
13 Ni 0.0000 0.0000 0.0000
14 Ni 0.0000 0.0000 0.6586
15 Ni 0.0000 0.1952 0.3821
16 Ni 0.0000 0.3821 0.1952
17 Ni 0.0000 0.6586 0.0000
18 Ni 0.1869 0.8048 0.8048
19 Ni 0.1952 0.0000 0.3821
20 Ni 0.1952 0.3821 0.0000
21 Ni 0.3414 0.3414 0.3414
22 Ni 0.3821 0.0000 0.1952
23 Ni 0.3821 0.1952 0.0000
24 Ni 0.6179 0.6179 0.8131
25 Ni 0.6179 0.8131 0.6179
26 Ni 0.6586 0.0000 0.0000
27 Ni 0.8048 0.1869 0.8048
28 Ni 0.8048 0.8048 0.1869
29 Ni 0.8131 0.6179 0.6179

---

Model b:
Here is crystalline Al12Ni17 at its relaxed geometry from OQMD via LeMat-Bulk. Energies are from GGA-PBE.

Unit cell a=7.7237 b=7.7237 c=7.7237 alpha=109.47 beta=109.47 gamma=109.47
Fractional positions:
1 Al 0.0000 0.2044 0.4017
2 Al 0.0000 0.4017 0.2044
3 Al 0.1973 0.7956 0.7956
4 Al 0.2044 0.0000 0.4017
5 Al 0.2044 0.4017 0.0000
6 Al 0.4017 0.0000 0.2044
7 Al 0.4017 0.2044 0.0000
8 Al 0.5983 0.5983 0.8027
9 Al 0.5983 0.8027 0.5983
10 Al 0.7956 0.1973 0.7956
11 Al 0.7956 0.7956 0.1973
12 Al 0.8027 0.5983 0.5983
13 Ni 0.0000 0.0000 0.0000
14 Ni 0.0000 0.0000 0.6732
15 Ni 0.0000 0.4156 0.6950
16 Ni 0.0000 0.6732 0.0000
17 Ni 0.0000 0.6950 0.4156
18 Ni 0.2794 0.5844 0.5844
19 Ni 0.3050 0.3050 0.7206
20 Ni 0.3050 0.7206 0.3050
21 Ni 0.3268 0.3268 0.3268
22 Ni 0.4156 0.0000 0.6950
23 Ni 0.4156 0.6950 0.0000
24 Ni 0.5844 0.2794 0.5844
25 Ni 0.5844 0.5844 0.2794
26 Ni 0.6732 0.0000 0.0000
27 Ni 0.6950 0.0000 0.4156
28 Ni 0.6950 0.4156 0.0000
29 Ni 0.7206 0.3050 0.3050

---

Decreasing stability: model a, model b